1.
Computed, not measured: LiRuBr after structural relaxation at the GGA-PBE level of DFT.

formation energy from raw total energies = 367 meV per atom

Unit cell a=3.325 b=3.325 c=8.467 alpha=90.00 beta=90.00 gamma=90.00
Fractional positions:
Li 0.000 0.000 0.000
Li 0.500 0.500 0.500
Ru 0.000 0.000 0.343
Ru 0.500 0.500 0.843
Br 0.000 0.000 0.647
Br 0.500 0.500 0.147

2.
Computed, not measured: CrTc2GeBi after structural relaxation at the GGA-PBE level of DFT.

formation energy from the elements = 0.91 eV/atom

Unit cell a=4.592 b=4.592 c=4.560 alpha=90.00 beta=90.00 gamma=90.00
Fractional positions:
Cr 0.000 0.000 0.000
Tc 0.000 0.500 0.000
Tc 0.500 0.000 0.000
Ge 0.000 0.000 0.500
Bi 0.500 0.500 0.500

3.
Computed, not measured: ScAlAgPb after structural relaxation at the GGA-PBE level of DFT.

formation energy from the elements = -0.14 eV/atom

Unit cell a=6.006 b=5.993 c=5.583 alpha=90.00 beta=122.50 gamma=90.00
Fractional positions:
Sc 0.000 0.000 0.000
Sc 0.500 0.500 0.000
Al 0.000 0.749 0.500
Al 0.500 0.249 0.500
Ag 0.000 0.250 0.500
Ag 0.500 0.750 0.500
Pb 0.000 0.500 0.000
Pb 0.500 0.000 0.000

4.
Computed, not measured: Mn2Au after structural relaxation at the GGA-PBE level of DFT.

formation energy from the elements = 0.61 eV/atom

Unit cell a=2.700 b=2.700 c=5.964 alpha=90.00 beta=90.00 gamma=90.00
Fractional positions:
Mn 0.000 0.000 0.162
Mn 0.000 0.000 0.838
Au 0.500 0.500 0.500

5.
Computed, not measured: HfSc2Tl after structural relaxation at the GGA-PBE level of DFT.

formation energy from the elements = -0.07 eV/atom

Unit cell a=4.515 b=4.515 c=4.425 alpha=90.00 beta=90.00 gamma=90.00
Fractional positions:
Hf 0.000 0.000 0.000
Sc 0.000 0.500 0.500
Sc 0.500 0.000 0.500
Tl 0.500 0.500 0.000

6.
Computed, not measured: NaHfBeH2 after structural relaxation at the GGA-PBE level of DFT.

Unit cell a=3.790 b=3.790 c=4.629 alpha=90.00 beta=90.00 gamma=90.00
Fractional positions:
Na 0.000 0.000 0.000
Hf 0.500 0.500 0.000
Be 0.000 0.000 0.500
H 0.000 0.500 0.500
H 0.500 0.000 0.500

Number 1: calculated volume 94 Å³/cell, E_tot -23.522 eV/cell. Number 2: calculated volume 96 Å³/cell, E_tot -34.286 eV/cell. Number 3: calculated volume 169 Å³/cell, E_tot -34.407 eV/cell. Number 4: calculated volume 43 Å³/cell, E_tot -19.780 eV/cell. Number 5: calculated volume 90 Å³/cell, E_tot -25.249 eV/cell. Number 6: calculated volume 67 Å³/cell, E_tot -15.107 eV/cell.